An optimized crystal structure of Er3Si2Ni9Ge, computed with GGA-PBE.

DOS(E_F): 0.632 states/eV per atom
DFT total energy: -0.42137 Ry per atom
Density: 7.8 g cm⁻³

abc: 5.8620 5.8620 8.2434
angles: 90.00 90.00 120.00
Space group P-3m1 (No. 164)
Symmetry-distinct sites (fractional):
Er1 0.0000 0.0000 0.0000 (multiplicity 1)
Er2 0.3333 0.6667 0.6846 (multiplicity 2)
Si1 0.3333 0.6667 0.1789 (multiplicity 2)
Ni1 0.0000 0.5000 0.0000 (multiplicity 3)
Ni2 0.1399 0.2797 0.2799 (multiplicity 6)
Ge1 0.0000 0.0000 0.5000 (multiplicity 1)